Entry 1:
Below is a relaxed RbPmSnCl6 crystal, with properties calculated at the PBE-GGA level.

Cell and atoms, written as POSCAR:
```
RbPmSnCl6
1.0
-6.8737 0.3423 -0.8970
0.2704 -5.5315 -4.1833
-1.7601 -7.9821 10.4408
Rb Pm Sn Cl
2 2 2 12
Direct
0.5000 0.5000 0.4971
0.0000 0.0000 0.9971
0.5000 0.5000 0.8319
0.0000 0.0000 0.3319
0.5000 0.5000 0.1658
0.0000 0.0000 0.6658
0.1734 0.8266 0.4958
0.8266 0.1734 0.4958
0.3266 0.3266 0.9958
0.6734 0.6734 0.9958
0.2065 0.7935 0.1927
0.7935 0.2065 0.1927
0.2935 0.2935 0.6927
0.7065 0.7065 0.6927
0.7775 0.2225 0.8141
0.2225 0.7775 0.8141
0.7225 0.7225 0.3141
0.2775 0.2775 0.3141
```

Output
* calculated volume: 35.5 A^3/atom
* formation energy without anion corrections: -1780 meV per atom

***

Entry 2:
Below is a relaxed Rb2SrPmCl6 crystal, with properties calculated at the PBE-GGA level.

Cell and atoms, written as POSCAR:
```
Rb2SrPmCl6
1.0
-0.9105 4.9869 -5.7194
-8.0014 -2.2154 -0.6578
-2.8264 8.0026 7.4276
Rb Sr Pm Cl
4 2 2 12
Direct
0.5000 0.7948 0.2221
0.0000 0.2052 0.7221
0.5000 0.7948 0.7779
0.0000 0.2052 0.2779
0.0000 0.7336 0.5000
0.5000 0.2664 0.0000
0.5000 0.2386 0.5000
0.0000 0.7614 0.0000
0.5000 0.2210 0.2534
0.5000 0.2210 0.7466
0.0000 0.7790 0.2466
0.0000 0.7790 0.7534
0.2532 0.9925 0.5000
0.7468 0.9925 0.5000
0.2466 0.4748 0.5000
0.7534 0.4748 0.5000
0.7466 0.5252 0.0000
0.2534 0.5252 0.0000
0.2468 0.0075 0.0000
0.7532 0.0075 0.0000
```

Output
* calculated volume: 35.9 A^3/atom
* formation energy without anion corrections: -2038 meV per atom